Compound: VP4O12
Source: Alexandria
Functional: PBE with a Hubbard U
Structure: relaxed

Computed properties:
raw total energy	-7.1914	eV per atom
energy relative to the lowest polymorph listed for this composition	0.0723	eV/atom
calculated volume	889.22	Å³/cell

Unit cell a=9.1015 b=9.3843 c=10.4118 alpha=90.00 beta=90.00 gamma=90.73
Last column: magnetic moment on the atom in μB.
Fractional coordinates of all 68 atoms:
O 0.9129 0.6129 0.2171  -0.02
O 0.2433 0.6247 0.8781  -0.03
O 0.1160 0.2114 0.4207  0.00
O 0.7517 0.6162 0.7685  0.15
O 0.4087 0.3976 0.7980  -0.02
P 0.7502 0.7126 0.8811  -0.01
O 0.0987 0.6320 0.6369  -0.02
O 0.8789 0.6550 0.9800  0.01
O 0.5913 0.1024 0.2980  -0.02
P 0.5488 0.7133 0.1038  0.00
P 0.7511 0.7653 0.4836  0.00
P 0.2489 0.2347 0.5164  0.00
O 0.6035 0.6675 0.9662  0.01
O 0.7607 0.8704 0.8702  0.16
P 0.2498 0.7874 0.3811  -0.01
O 0.1160 0.7114 0.0793  0.00
P 0.5488 0.2133 0.3962  0.00
P 0.4512 0.7867 0.6038  0.00
V 0.7490 0.9894 0.2155  1.47
O 0.8840 0.2886 0.9207  0.00
O 0.6241 0.8002 0.5830  0.00
P 0.2498 0.2874 0.1189  -0.01
P 0.9452 0.7161 0.1088  0.01
O 0.7398 0.6127 0.4373  -0.03
O 0.3965 0.3325 0.0338  0.01
P 0.0548 0.2839 0.8912  0.01
O 0.2483 0.3838 0.2315  0.15
O 0.2433 0.1247 0.6219  -0.03
P 0.2489 0.7347 0.9836  0.00
O 0.2483 0.8838 0.2685  0.15
O 0.7517 0.1162 0.7315  0.15
O 0.6241 0.3002 0.9170  0.00
O 0.0987 0.1320 0.8631  -0.02
O 0.5919 0.8634 0.1407  -0.02
O 0.4087 0.8976 0.7020  -0.02
O 0.1211 0.3450 0.0200  0.01
O 0.2393 0.1296 0.1298  0.16
O 0.3759 0.1998 0.4170  0.00
O 0.3759 0.6998 0.0830  0.00
O 0.3965 0.8325 0.4662  0.01
O 0.7398 0.1127 0.0627  -0.03
V 0.2510 0.5106 0.7155  1.47
P 0.7502 0.2126 0.6189  -0.01
O 0.0871 0.8871 0.7171  -0.02
O 0.2602 0.3873 0.5627  -0.03
O 0.8789 0.1550 0.5200  0.01
O 0.4081 0.6366 0.6407  -0.02
O 0.4081 0.1366 0.8593  -0.02
P 0.7511 0.2653 0.0164  0.00
O 0.7607 0.3704 0.6298  0.16
P 0.0548 0.7839 0.6088  0.01
O 0.8840 0.7886 0.5793  0.00
O 0.1211 0.8450 0.4800  0.01
P 0.9452 0.2161 0.3912  0.01
O 0.5913 0.6024 0.2020  -0.02
V 0.7490 0.4894 0.2845  1.47
O 0.9129 0.1129 0.2829  -0.02
V 0.2510 0.0106 0.7845  1.47
O 0.0871 0.3871 0.7829  -0.02
O 0.9013 0.3680 0.3631  -0.02
O 0.7567 0.8753 0.3781  -0.03
O 0.6035 0.1675 0.5338  0.01
O 0.2602 0.8873 0.9373  -0.03
O 0.5919 0.3634 0.3593  -0.02
O 0.7567 0.3753 0.1219  -0.03
O 0.2393 0.6296 0.3702  0.16
O 0.9013 0.8680 0.1369  -0.02
P 0.4512 0.2867 0.8962  0.00